# 1
# Dy4Tm3Th | the Alexandria database | PBE | optimized geometry
data_Dy4Tm3Th
_symmetry_space_group_name_H-M 'C 1 2/m 1'
_symmetry_Int_Tables_number 12
_cell_length_a 23.2190
_cell_length_b 3.4329
_cell_length_c 6.6584
_cell_angle_alpha 90.00
_cell_angle_beta 106.62
_cell_angle_gamma 90.00
loop_
_symmetry_equiv_pos_as_xyz
'x,y,z'
'-x,-y,-z'
'-x,y,-z'
'x,-y,z'
'x+1/2,y+1/2,z'
'-x+1/2,-y+1/2,-z'
'-x+1/2,y+1/2,-z'
'x+1/2,-y+1/2,z'
loop_
_atom_site_label
_atom_site_type_symbol
_atom_site_fract_x
_atom_site_fract_y
_atom_site_fract_z
Dy1 Dy 0.1237 0.0000 0.3659
Dy2 Dy 0.2408 0.5000 0.2380
Tm1 Tm 0.0000 0.0000 0.5000
Tm2 Tm 0.1239 0.0000 0.8838
Th1 Th 0.0000 0.5000 0.0000
# Formation enthalpy at 0 K: 1.4 eV per formula unit
# Energy above the lowest structure with this stoichiometry: 1.27 eV per formula unit

# 2
# Dy8TmTh2 | the Alexandria database | PBE | optimized geometry
data_Dy8TmTh2
_symmetry_space_group_name_H-M 'C 1 2/m 1'
_symmetry_Int_Tables_number 12
_cell_length_a 18.7731
_cell_length_b 7.0143
_cell_length_c 5.5939
_cell_angle_alpha 90.00
_cell_angle_beta 92.12
_cell_angle_gamma 90.00
loop_
_symmetry_equiv_pos_as_xyz
'x,y,z'
'-x,-y,-z'
'-x,y,-z'
'x,-y,z'
'x+1/2,y+1/2,z'
'-x+1/2,-y+1/2,-z'
'-x+1/2,y+1/2,-z'
'x+1/2,-y+1/2,z'
loop_
_atom_site_label
_atom_site_type_symbol
_atom_site_fract_x
_atom_site_fract_y
_atom_site_fract_z
Dy1 Dy 0.0468 0.0000 0.2365
Dy2 Dy 0.1304 0.2295 0.7381
Dy3 Dy 0.1812 0.5000 0.2327
Tm1 Tm 0.0000 0.5000 0.0000
Th1 Th 0.2188 0.0000 0.2622
# Formation enthalpy at 0 K: 2.2 eV per formula unit
# Energy above the lowest structure with this stoichiometry: 0.18 eV per formula unit

# 3
# DyTm2Th2 | the Alexandria database | PBE | optimized geometry
data_DyTm2Th2
_symmetry_space_group_name_H-M 'P 1 21/c 1'
_symmetry_Int_Tables_number 14
_cell_length_a 14.5070
_cell_length_b 7.0731
_cell_length_c 6.1586
_cell_angle_alpha 90.00
_cell_angle_beta 98.24
_cell_angle_gamma 90.00
loop_
_symmetry_equiv_pos_as_xyz
'x,y,z'
'-x,-y,-z'
'-x,y+1/2,-z+1/2'
'x,-y+1/2,z+1/2'
loop_
_atom_site_label
_atom_site_type_symbol
_atom_site_fract_x
_atom_site_fract_y
_atom_site_fract_z
Dy1 Dy 0.1983 0.1263 0.1496
Tm1 Tm 0.1972 0.6232 0.1485
Tm2 Tm 0.4015 0.6252 0.5491
Th1 Th 0.0009 0.6244 0.7494
Th2 Th 0.4018 0.1286 0.5509
# Formation enthalpy at 0 K: 0.1 eV per formula unit
# Energy above the lowest structure with this stoichiometry: 0.00 eV per formula unit

# 4
# Dy2Tm15Th2 | the Alexandria database | PBE | optimized geometry
data_Dy2Tm15Th2
_symmetry_space_group_name_H-M 'R -3 m'
_symmetry_Int_Tables_number 166
_symmetry_space_group_name_Hall '-R 3 2"'
_cell_length_a 10.9899
_cell_length_b 10.9899
_cell_length_c 17.5903
_cell_angle_alpha 90.00
_cell_angle_beta 90.00
_cell_angle_gamma 120.00
loop_
_atom_site_label
_atom_site_type_symbol
_atom_site_fract_x
_atom_site_fract_y
_atom_site_fract_z
Dy1 Dy 0.0000 0.0000 0.1823
Tm1 Tm 0.0000 0.3018 0.5000
Tm2 Tm 0.0000 0.5000 0.0000
Tm3 Tm 0.0070 0.5035 0.6376
Th1 Th 0.0000 0.0000 0.4098
# Formation enthalpy at 0 K: 5.5 eV per formula unit

# 5
# Dy7Tm12Th | the Alexandria database | PBE | optimized geometry
data_Dy7Tm12Th
_symmetry_space_group_name_H-M 'R -3'
_symmetry_Int_Tables_number 148
_symmetry_space_group_name_Hall '-R 3'
_cell_length_a 12.0758
_cell_length_b 12.0758
_cell_length_c 15.1934
_cell_angle_alpha 90.00
_cell_angle_beta 90.00
_cell_angle_gamma 120.00
loop_
_atom_site_label
_atom_site_type_symbol
_atom_site_fract_x
_atom_site_fract_y
_atom_site_fract_z
Dy1 Dy 0.0000 0.0000 0.0000
Dy2 Dy 0.0386 0.8523 0.3054
Tm1 Tm 0.0123 0.5666 0.2032
Tm2 Tm 0.0563 0.4695 0.5889
Th1 Th 0.0000 0.0000 0.5000
# Formation enthalpy at 0 K: 4.8 eV per formula unit
# Energy above the lowest structure with this stoichiometry: 0.00 eV per formula unit

# 6
# Dy3Tm2Th4 | the Alexandria database | PBE | optimized geometry
data_Dy3Tm2Th4
_symmetry_space_group_name_H-M 'C 1 2/c 1'
_symmetry_Int_Tables_number 15
_cell_length_a 16.3259
_cell_length_b 10.3847
_cell_length_c 6.9493
_cell_angle_alpha 90.00
_cell_angle_beta 102.23
_cell_angle_gamma 90.00
loop_
_symmetry_equiv_pos_as_xyz
'x,y,z'
'-x,-y,-z'
'-x,y,-z+1/2'
'x,-y,z+1/2'
'x+1/2,y+1/2,z'
'-x+1/2,-y+1/2,-z'
'-x+1/2,y+1/2,-z+1/2'
'x+1/2,-y+1/2,z+1/2'
loop_
_atom_site_label
_atom_site_type_symbol
_atom_site_fract_x
_atom_site_fract_y
_atom_site_fract_z
Dy1 Dy 0.0000 0.0011 0.2500
Dy2 Dy 0.1619 0.4985 0.8294
Tm1 Tm 0.1740 0.1738 0.3343
Th1 Th 0.9998 0.3229 0.5013
Th2 Th 0.1719 0.1712 0.8377
# Formation enthalpy at 0 K: 1.3 eV per formula unit

# 7
# Dy8Tm3Th2 | the Alexandria database | PBE | optimized geometry
data_Dy8Tm3Th2
_symmetry_space_group_name_H-M 'P 1 21/c 1'
_symmetry_Int_Tables_number 14
_cell_length_a 6.6039
_cell_length_b 17.4305
_cell_length_c 7.5907
_cell_angle_alpha 90.00
_cell_angle_beta 106.66
_cell_angle_gamma 90.00
loop_
_symmetry_equiv_pos_as_xyz
'x,y,z'
'-x,-y,-z'
'-x,y+1/2,-z+1/2'
'x,-y+1/2,z+1/2'
loop_
_atom_site_label
_atom_site_type_symbol
_atom_site_fract_x
_atom_site_fract_y
_atom_site_fract_z
Dy1 Dy 0.0867 0.0724 0.1491
Dy2 Dy 0.1341 0.0809 0.6317
Dy3 Dy 0.3544 0.2387 0.9624
Dy4 Dy 0.3574 0.6151 0.1788
Tm1 Tm 0.1025 0.7460 0.4027
Tm2 Tm 0.5000 0.0000 0.0000
Th1 Th 0.3407 0.6110 0.7536
# Formation enthalpy at 0 K: 2.0 eV per formula unit
# Energy above the lowest structure with this stoichiometry: 0.00 eV per formula unit

# 8
# Dy4Tm7Th | the Alexandria database | PBE | optimized geometry
data_Dy4Tm7Th
_symmetry_space_group_name_H-M 'P -1'
_symmetry_Int_Tables_number 2
_cell_length_a 6.7060
_cell_length_b 6.9040
_cell_length_c 8.5607
_cell_angle_alpha 79.05
_cell_angle_beta 77.09
_cell_angle_gamma 76.24
loop_
_symmetry_equiv_pos_as_xyz
'x,y,z'
'-x,-y,-z'
loop_
_atom_site_label
_atom_site_type_symbol
_atom_site_fract_x
_atom_site_fract_y
_atom_site_fract_z
Dy1 Dy 0.1562 0.2697 0.3177
Dy2 Dy 0.3147 0.8920 0.6660
Tm1 Tm 0.0189 0.2501 0.9773
Tm2 Tm 0.1780 0.7650 0.3256
Tm3 Tm 0.3222 0.3926 0.6367
Tm4 Tm 0.5000 0.0000 0.0000
Th1 Th 0.5000 0.5000 0.0000
# Formation enthalpy at 0 K: 1.0 eV per formula unit
# Energy above the lowest structure with this stoichiometry: 0.00 eV per formula unit